1.
Density functional theory data (PBE) for an optimized crystal structure of Mg12InAg6.

Mass density, g cm⁻³: 4.37
Size of the total moment, μB per cell: 0.0
DOS at the Fermi energy, states/eV per atom: 0.37
E_tot, eV per cell: -40.4

Cell lengths 8.0405, 8.0405, 8.0405 Å; angles 109.47, 109.47, 109.47 degrees
Last column: nearest neighbours and their distance in Å.
Atoms (fractional coordinates):
1 Mg 0.0974 0.8216 0.2758  1 Ag 2.64
2 Mg 0.1784 0.2758 0.4543  1 Ag 2.64
3 Mg 0.1784 0.7242 0.9026  1 Ag 2.64
4 Mg 0.2758 0.0974 0.8216  1 Ag 2.64
5 Mg 0.2758 0.4543 0.1784  1 Ag 2.64
6 Mg 0.4543 0.1784 0.2758  1 Ag 2.64
7 Mg 0.5457 0.8216 0.7242  1 Ag 2.64
8 Mg 0.7242 0.5457 0.8216  1 Ag 2.64
9 Mg 0.7242 0.9026 0.1784  1 Ag 2.64
10 Mg 0.8216 0.2758 0.0974  1 Ag 2.64
11 Mg 0.8216 0.7242 0.5457  1 Ag 2.64
12 Mg 0.9026 0.1784 0.7242  1 Ag 2.64
13 In 0.0000 0.0000 0.0000  12 Mg 3.05
14 Ag 0.1470 0.6470 0.5000  2 Mg 2.64, 1 Ag 2.73
15 Ag 0.3530 0.5000 0.8530  2 Mg 2.64, 1 Ag 2.73
16 Ag 0.5000 0.1470 0.6470  2 Mg 2.64, 1 Ag 2.73
17 Ag 0.5000 0.8530 0.3530  2 Mg 2.64, 1 Ag 2.73
18 Ag 0.6470 0.5000 0.1470  2 Mg 2.64, 1 Ag 2.73
19 Ag 0.8530 0.3530 0.5000  2 Mg 2.64, 1 Ag 2.73

***

2.
Density functional theory data (PBE) for an optimized crystal structure of MgInAg6.

Mass density, g cm⁻³: 8.84
Energy above the most stable polymorph in this dataset, meV per atom: 7
Size of the total moment, μB per cell: 0.0
DOS at the Fermi energy, states/eV per atom: 0.31
E_tot, eV per cell: -22.1

Cell lengths 4.8487, 5.8357, 5.8357 Å; angles 63.42, 90.00, 90.00 degrees
Last column: nearest neighbours and their distance in Å.
Atoms (fractional coordinates):
1 Mg 0.0000 0.0000 0.0000  12 Ag 2.91-3.07
2 In 0.5000 0.3209 0.3209  12 Ag 2.92-3.07
3 Ag 0.0000 0.5010 0.5010  8 Ag 2.89-2.95, 2 In 3.01, 2 Mg 3.07
4 Ag 0.0000 0.5031 0.9948  8 Ag 2.89-3.12, 2 Mg 2.91-2.92, 2 In 2.97
5 Ag 0.0000 0.9948 0.5031  8 Ag 2.89-3.12, 2 Mg 2.91-2.92, 2 In 2.97
6 Ag 0.5000 0.3198 0.8218  8 Ag 2.91-3.08, 2 In 2.92, 2 Mg 2.95
7 Ag 0.5000 0.8212 0.8212  8 Ag 2.91-2.94, 2 Mg 3.00, 2 In 3.07
8 Ag 0.5000 0.8218 0.3198  8 Ag 2.91-3.08, 2 In 2.92, 2 Mg 2.95

***

3.
Density functional theory data (PBE) for an optimized crystal structure of MgInAg2.

Mass density, g cm⁻³: 7.48
Energy above the most stable polymorph in this dataset, meV per atom: 37
Size of the total moment, μB per cell: 0.0
DOS at the Fermi energy, states/eV per atom: 0.27
E_tot, eV per cell: -10.5

Cell lengths 5.2666, 5.2666, 4.6257 Å; angles 109.96, 109.96, 41.27 degrees
Last column: nearest neighbours and their distance in Å.
Atoms (fractional coordinates):
1 Mg 0.0000 0.0000 0.0000  7 Ag 2.92-2.99, 4 In 3.08-3.22
2 In 0.2366 0.2366 0.6975  7 Ag 2.93-2.99, 4 Mg 3.08-3.22
3 Ag 0.4901 0.4901 0.4879  3 In 2.93-2.99, 3 Ag 2.95-3.23, 4 Mg 2.95-2.98
4 Ag 0.7452 0.7452 0.2045  3 Mg 2.92-2.99, 3 Ag 2.95-3.23, 4 In 2.97